Record 1
# Rb3Y2O4

An optimized crystal structure of Rb3Y2O4 (PBE-GGA, Alexandria via LeMat-Bulk).

Cell lengths 6.9277, 6.9277, 10.3735 Å; angles 124.14, 124.14, 32.49 degrees
Fractional positions:
Rb: 0.0000 0.0000 0.0000
Rb: 0.1973 0.1973 0.8156
Rb: 0.8027 0.8027 0.1844
Y: 0.3834 0.3834 0.6271
Y: 0.6166 0.6166 0.3729
O: 0.1943 0.1943 0.3615
O: 0.4399 0.4399 0.1580
O: 0.5601 0.5601 0.8420
O: 0.8057 0.8057 0.6385

Its space group is C2/m. Its total energy is -6.06 eV per atom. The density of states at the Fermi level is 1.48 states/eV/cell.



Record 2
# Rb3YO

An optimized crystal structure of Rb3YO (PBE-GGA, Alexandria via LeMat-Bulk).

Cell lengths 7.6109, 7.6109, 7.6109 Å; angles 90.00, 90.00, 90.00 degrees
Fractional positions:
Rb: 0.0000 0.0000 0.5000
Rb: 0.0000 0.5000 0.0000
Rb: 0.5000 0.0000 0.0000
Y: 0.0000 0.0000 0.0000
O: 0.5000 0.5000 0.5000

Its space group is Pm-3m. Its total energy is -1.81 eV per atom. For the relative energy among the computed polymorphs, the calculation gives 0.971 eV per atom. The density of states at the Fermi level is 16.40 states/eV/cell.



Record 3
# Rb3YO3

An optimized crystal structure of Rb3YO3 (PBE-GGA, Alexandria via LeMat-Bulk).

Cell lengths 7.8293, 7.4415, 12.0129 Å; angles 90.00, 93.49, 90.00 degrees
Fractional positions:
Rb: 0.0781 0.1250 0.1638
Rb: 0.0781 0.3750 0.6638
Rb: 0.3527 0.1562 0.9208
Rb: 0.3527 0.3438 0.4208
Rb: 0.3817 0.6917 0.8110
Rb: 0.3817 0.8083 0.3110
Rb: 0.6183 0.1917 0.6890
Rb: 0.6183 0.3083 0.1890
Rb: 0.6473 0.6562 0.5792
Rb: 0.6473 0.8438 0.0792
Rb: 0.9219 0.6250 0.3362
Rb: 0.9219 0.8750 0.8362
Y: 0.1599 0.5924 0.0712
Y: 0.1599 0.9076 0.5712
Y: 0.8401 0.0924 0.4288
Y: 0.8401 0.4076 0.9288
O: 0.1189 0.0492 0.4095
O: 0.1189 0.4508 0.9095
O: 0.2595 0.6424 0.5553
O: 0.2595 0.8576 0.0553
O: 0.2981 0.0510 0.6994
O: 0.2981 0.4490 0.1994
O: 0.7019 0.5510 0.8006
O: 0.7019 0.9490 0.3006
O: 0.7405 0.1424 0.9447
O: 0.7405 0.3576 0.4447
O: 0.8811 0.5492 0.0905
O: 0.8811 0.9508 0.5905

Its space group is P2_1/c. Its total energy is -5.37 eV per atom. For the relative energy among the computed polymorphs, the calculation gives 0.000 eV per atom. The density of states at the Fermi level is 0.00 states/eV/cell.



What did the first record say?
# Rb3Y2O4

An optimized crystal structure of Rb3Y2O4 (PBE-GGA, Alexandria via LeMat-Bulk).

Cell lengths 6.9277, 6.9277, 10.3735 Å; angles 124.14, 124.14, 32.49 degrees
Fractional positions:
Rb: 0.0000 0.0000 0.0000
Rb: 0.1973 0.1973 0.8156
Rb: 0.8027 0.8027 0.1844
Y: 0.3834 0.3834 0.6271
Y: 0.6166 0.6166 0.3729
O: 0.1943 0.1943 0.3615
O: 0.4399 0.4399 0.1580
O: 0.5601 0.5601 0.8420
O: 0.8057 0.8057 0.6385

Its space group is C2/m. Its total energy is -6.06 eV per atom. The density of states at the Fermi level is 1.48 states/eV/cell.